(1)
A plane-wave DFT calculation with PBE was carried out for an optimized crystal structure of AlCrIn2.

Geometry as POSCAR:
```
AlCrIn2
1.0
3.079 0.046 0.000
-0.045 3.079 0.000
0.000 0.000 8.584
Cr Al In
1 1 2
direct
0.500 0.500 0.750 Cr
0.500 0.500 0.250 Al
0.000 0.000 0.978 In
0.000 0.000 0.522 In
```

## Properties
Density of states at the Fermi level (states/eV per cell): 1.82
Formation energy (meV/atom): 325
Space group: P4/mmm, No. 123

(2)
A plane-wave DFT calculation with PBE was carried out for an optimized crystal structure of CeEr2TmSc4.

Geometry as POSCAR:
```
CeEr2TmSc4
1.0
-0.458 -1.989 -4.418
3.522 -3.175 1.065
-2.766 -9.044 4.358
Ce Er Tm Sc
1 2 1 4
direct
0.000 0.500 0.500 Ce
0.000 0.000 0.000 Er
0.500 0.000 0.500 Er
0.500 0.500 0.000 Tm
0.000 0.752 0.748 Sc
0.000 0.248 0.252 Sc
0.500 0.748 0.252 Sc
0.500 0.252 0.748 Sc
```

## Properties
Density of states at the Fermi level (states/eV per cell): 15.29
Formation energy (meV/atom): 62
Space group: P4/mmm, No. 123

(3)
A plane-wave DFT calculation with PBE was carried out for an optimized crystal structure of SiHgMo2.

Geometry as POSCAR:
```
SiHgMo2
1.0
-2.104 0.196 -2.536
-2.562 -3.246 1.875
-2.311 3.068 2.155
Hg Mo Si
1 2 1
direct
0.000 0.500 0.500 Hg
0.000 0.000 0.000 Mo
0.500 0.500 0.000 Mo
0.500 0.000 0.500 Si
```

## Properties
ΔE to the lowest computed polymorph (eV/atom): 0.333
Density of states at the Fermi level (states/eV per cell): 2.99
Space group: Pmmm, No. 47

(4)
A plane-wave DFT calculation with PBE was carried out for an optimized crystal structure of SrNiHg2.

Geometry as POSCAR:
```
SrNiHg2
1.0
4.420 0.011 0.028
-2.098 5.774 0.139
0.225 1.550 4.095
Hg Ni Sr
2 1 1
direct
0.000 0.000 0.000 Hg
0.500 0.000 0.500 Hg
0.000 0.500 0.500 Ni
0.500 0.500 0.000 Sr
```

## Properties
Density of states at the Fermi level (states/eV per cell): 2.08
Formation energy (meV/atom): 146
Space group: C2/m, No. 12

(5)
A plane-wave DFT calculation with PBE was carried out for an optimized crystal structure of NbGaAg2O5.

Geometry as POSCAR:
```
NbGaAg2O5
1.0
3.162 0.000 0.000
-1.581 6.756 0.000
0.000 0.000 12.519
Nb Ga Ag O
2 2 4 10
direct
0.763 0.526 0.546 Nb
0.237 0.474 0.046 Nb
0.576 0.152 0.911 Ga
0.424 0.848 0.411 Ga
0.868 0.735 0.824 Ag
0.029 0.059 0.651 Ag
0.132 0.265 0.324 Ag
0.971 0.941 0.151 Ag
0.371 0.741 0.042 O
0.723 0.446 0.926 O
0.501 0.002 0.792 O
0.288 0.577 0.638 O
0.925 0.850 0.494 O
0.629 0.259 0.542 O
0.277 0.554 0.426 O
0.499 0.998 0.292 O
0.712 0.423 0.138 O
0.075 0.150 0.994 O
```

## Properties
E (eV/atom): -6.248
Space group: Cmc2_1, No. 36

(6)
A plane-wave DFT calculation with PBE was carried out for an optimized crystal structure of BTeIr3.

Geometry as POSCAR:
```
BTeIr3
1.0
-3.453 1.745 -1.745
-2.031 -0.304 3.714
1.402 3.857 1.083
B Ir Te
1 3 1
direct
0.000 0.000 0.000 B
0.000 0.500 0.000 Ir
0.000 0.000 0.500 Ir
0.500 0.000 0.000 Ir
0.500 0.500 0.500 Te
```

## Properties
ΔE to the lowest computed polymorph (eV/atom): 0.000
Density of states at the Fermi level (states/eV per cell): 4.63
Space group: Pm-3m, No. 221